(1)
Material: ZnPt2Se
Method: DFT, PBE
State: relaxed

symmetry = No. 123
raw formation energy = -0.109 eV per atom

The structure in POSCAR format:
```
ZnPt2Se
1.0
2.966 -0.004 0.000
0.005 2.966 0.000
0.000 0.000 7.274
Pt Se Zn
2 1 1
Direct
0.000 0.000 0.978 Pt
0.000 0.000 0.522 Pt
0.500 0.500 0.250 Se
0.500 0.500 0.750 Zn
```

(2)
Material: ZnPt2Se
Method: DFT, PBE
State: relaxed

symmetry = No. 25
raw formation energy = -0.126 eV per atom

The structure in POSCAR format:
```
ZnPt2Se
1.0
4.827 0.000 0.000
0.000 3.039 -0.019
0.000 0.029 4.451
Pt Se Zn
2 1 1
Direct
0.000 0.875 0.005 Pt
0.500 0.375 0.253 Pt
0.000 0.375 0.489 Se
0.500 0.875 0.753 Zn
```

Number 1: M_tot 0.00 μB/f.u.. Number 2: M_tot 0.00 μB/f.u..